A relaxed Co3O2 crystal, computed with PBE+U.

Properties
space group	R-3c (167)
M_tot	7.15	μB per formula unit
VASP energy	-26.82	eV per formula unit
V	11.13	A^3/atom

Unit cell a=5.920 b=5.920 c=5.920 alpha=49.79 beta=49.79 gamma=49.79
Atoms (fractional coordinates):
Co: 0.065 0.750 0.435
Co: 0.250 0.565 0.935
Co: 0.435 0.065 0.750
Co: 0.565 0.935 0.250
Co: 0.750 0.435 0.065
Co: 0.935 0.250 0.565
O: 0.154 0.154 0.154
O: 0.346 0.346 0.346
O: 0.654 0.654 0.654
O: 0.846 0.846 0.846